A plane-wave DFT calculation with GGA-PBE was carried out for ScTl2 after structural relaxation.

Its uncorrected energy is -0.279 Ry per atom. The calculation puts the calculated formation energy at -108 meV per atom. The calculated volume is 29.004 Å³/atom.

It has space group P4/mmm (No. 123), with a = 5.0679 Å, b = 5.0679 Å, c = 3.3879 Å, α = 90.00°, β = 90.00° and γ = 90.00°. Symmetry generates all atoms from Sc at (0.0000, 0.0000, 0.0000) and Tl at (0.0000, 0.5000, 0.5000).